(1)
# UMnAlRu | Alexandria via LeMat-Bulk | PBE-GGA | optimized geometry
# - ρ: 10.85 g/cm³
# - Final energy: -8.57 eV/atom
data_UMnAlRu
_chemical_formula_sum 'U4 Mn4 Al4 Ru4'
_symmetry_space_group_name_H-M 'F -4 3 m'
_symmetry_Int_Tables_number 216
_symmetry_space_group_name_Hall 'F -4 2 3'
_cell_length_a 6.363
_cell_length_b 6.363
_cell_length_c 6.363
_cell_angle_alpha 90.00
_cell_angle_beta 90.00
_cell_angle_gamma 90.00
loop_
_atom_site_label
_atom_site_fract_x
_atom_site_fract_y
_atom_site_fract_z
U1 0.000 0.000 0.000
Mn1 0.250 0.250 0.750
Al1 0.000 0.000 0.500
Ru1 0.250 0.250 0.250

=====

(2)
# Mn2AlV2Ru5 | Alexandria via LeMat-Bulk | PBE-GGA | optimized geometry
# - ρ: 8.55 g/cm³
# - Final energy: -8.61 eV/atom
data_Mn2AlV2Ru5
_chemical_formula_sum 'Mn4 Al2 V4 Ru10'
_symmetry_space_group_name_H-M 'P 4/m b m'
_symmetry_Int_Tables_number 127
_symmetry_space_group_name_Hall '-P 4 2ab'
_cell_length_a 8.691
_cell_length_b 8.691
_cell_length_c 3.827
_cell_angle_alpha 90.00
_cell_angle_beta 90.00
_cell_angle_gamma 90.00
loop_
_atom_site_label
_atom_site_fract_x
_atom_site_fract_y
_atom_site_fract_z
Mn1 0.169 0.331 0.000
Al1 0.000 0.000 0.000
V1 0.129 0.629 0.000
Ru1 0.000 0.500 0.500
Ru2 0.071 0.803 0.500

=====

(3)
# MnAlVRu | Alexandria via LeMat-Bulk | PBE-GGA | optimized geometry
# - ρ: 7.53 g/cm³
# - Final energy: -8.25 eV/atom
data_MnAlVRu
_chemical_formula_sum 'Mn1 Al1 V1 Ru1'
_symmetry_space_group_name_H-M 'P 4 m m'
_symmetry_Int_Tables_number 99
_cell_length_a 2.957
_cell_length_b 2.957
_cell_length_c 5.900
_cell_angle_alpha 90.00
_cell_angle_beta 90.00
_cell_angle_gamma 90.00
loop_
_symmetry_equiv_pos_as_xyz
'x,y,z'
'-y,x,z'
'-x,-y,z'
'y,-x,z'
'-x,y,z'
'y,x,z'
'x,-y,z'
'-y,-x,z'
loop_
_atom_site_label
_atom_site_fract_x
_atom_site_fract_y
_atom_site_fract_z
Mn1 0.000 0.000 0.000
Al1 0.500 0.500 0.254
V1 0.500 0.500 0.776
Ru1 0.000 0.000 0.516

=====

(4)
# MnAlRu2W | Alexandria via LeMat-Bulk | PBE-GGA | optimized geometry
# - ρ: 10.07 g/cm³
# - Final energy: -7.67 eV/atom
data_MnAlRu2W
_chemical_formula_sum 'Mn1 Al1 Ru2 W1'
_symmetry_space_group_name_H-M 'P 4/m m m'
_symmetry_Int_Tables_number 123
_symmetry_space_group_name_Hall '-P 4 2'
_cell_length_a 4.290
_cell_length_b 4.290
_cell_length_c 4.192
_cell_angle_alpha 90.00
_cell_angle_beta 90.00
_cell_angle_gamma 90.00
loop_
_atom_site_label
_atom_site_fract_x
_atom_site_fract_y
_atom_site_fract_z
Mn1 0.000 0.000 0.000
Al1 0.000 0.000 0.500
Ru1 0.000 0.500 0.500
W1 0.500 0.500 0.000

=====

(5)
# MnAlZn2Ru | Alexandria via LeMat-Bulk | PBE-GGA | optimized geometry
# - ρ: 5.80 g/cm³
# - Final energy: -3.92 eV/atom
data_MnAlZn2Ru
_chemical_formula_sum 'Mn1 Al1 Zn2 Ru1'
_symmetry_space_group_name_H-M 'P 4/m m m'
_symmetry_Int_Tables_number 123
_symmetry_space_group_name_Hall '-P 4 2'
_cell_length_a 4.482
_cell_length_b 4.482
_cell_length_c 4.471
_cell_angle_alpha 90.00
_cell_angle_beta 90.00
_cell_angle_gamma 90.00
loop_
_atom_site_label
_atom_site_fract_x
_atom_site_fract_y
_atom_site_fract_z
Mn1 0.000 0.000 0.000
Al1 0.000 0.000 0.500
Zn1 0.000 0.500 0.000
Ru1 0.500 0.500 0.500

=====

(6)
# Zr2MnAl2Ru5 | Alexandria via LeMat-Bulk | PBE-GGA | optimized geometry
# - ρ: 8.49 g/cm³
# - Final energy: -8.34 eV/atom
data_Zr2MnAl2Ru5
_chemical_formula_sum 'Zr4 Mn2 Al4 Ru10'
_symmetry_space_group_name_H-M 'P 4/m b m'
_symmetry_Int_Tables_number 127
_symmetry_space_group_name_Hall '-P 4 2ab'
_cell_length_a 9.804
_cell_length_b 9.804
_cell_length_c 3.244
_cell_angle_alpha 90.00
_cell_angle_beta 90.00
_cell_angle_gamma 90.00
loop_
_atom_site_label
_atom_site_fract_x
_atom_site_fract_y
_atom_site_fract_z
Zr1 0.171 0.329 0.000
Mn1 0.000 0.000 0.000
Al1 0.130 0.630 0.000
Ru1 0.000 0.500 0.500
Ru2 0.057 0.802 0.500

=====

| no. | V (Å³/atom) | ΔH_f (0 K) (eV/atom) |
| --- | --- | --- |
| 1 | 16.11 | -0.2056 |
| 2 | 14.46 | 0.0599 |
| 3 | 12.90 | -0.4246 |
| 4 | 15.43 | 1.2089 |
| 5 | 17.96 | 1.0246 |
| 6 | 15.59 | -0.3317 |